a.
First-principles (PBE) data for CaAcLaSm after structural relaxation, as listed in Alexandria.

The structure in POSCAR format:
```
CaAcLaSm
1.0
-5.2512 1.7946 2.4252
-1.8940 -2.3926 5.2312
-0.0169 3.3621 5.0372
Ac Ca Sm La
1 1 1 1
Direct
0.7500 0.7500 0.7500
0.2500 0.2500 0.2500
0.0000 0.0000 0.0000
0.5000 0.5000 0.5000
```

Output
N(E_F) = 1.999 states/eV/atom
SG = F-43m (216)

---

b.
First-principles (PBE) data for CaAcLaSm after structural relaxation, as listed in Alexandria.

The structure in POSCAR format:
```
CaAcLaSm
1.0
3.8099 0.0000 0.0000
1.9050 3.2995 0.0000
1.9050 1.0998 12.4936
Ca Ac La Sm
1 1 1 1
Direct
0.7725 0.7725 0.6825
0.5276 0.5276 0.4172
0.0202 0.0202 0.9394
0.2757 0.2757 0.1730
```

Output
N(E_F) = 1.321 states/eV/atom
SG = R3m (160)

---

List of relative energies, unit meV per atom: a 100; b 0

---

a.
First-principles (PBE) data for LiCaAc after structural relaxation, as listed in Alexandria.

The structure in POSCAR format:
```
LiCaAc
1.0
4.0175 0.0000 0.0000
0.0000 4.0175 0.0000
-2.0087 -2.0087 6.6635
Ac Ca Li
1 1 1
Direct
0.3174 0.3174 0.6348
0.0242 0.0242 0.0483
0.6584 0.6584 0.3169
```

Output
N(E_F) = 1.221 states/eV/atom
SG = I4mm (107)

---

b.
First-principles (PBE) data for LiCaAc after structural relaxation, as listed in Alexandria.

The structure in POSCAR format:
```
LiCaAc
1.0
3.8243 0.0000 -0.6424
0.0000 5.5522 0.0000
-0.2160 0.0000 10.4184
Li Ca Ac
2 2 2
Direct
0.9629 0.7500 0.9259
0.0371 0.2500 0.0741
0.5997 0.7500 0.1995
0.4003 0.2500 0.8005
0.7944 0.7500 0.5887
0.2056 0.2500 0.4113
```

Output
N(E_F) = 0.842 states/eV/atom
SG = Cmcm (63)

---

c.
First-principles (PBE) data for LiCaAc after structural relaxation, as listed in Alexandria.

The structure in POSCAR format:
```
LiCaAc
1.0
3.8537 0.0000 0.0000
-1.9269 3.3374 0.0000
0.0000 0.0000 8.7714
Ac Ca Li
1 1 1
Direct
0.0000 0.0000 0.0164
0.3333 0.6667 0.6467
0.6667 0.3333 0.3368
```

Output
N(E_F) = 1.176 states/eV/atom
SG = P3m1 (156)

---

List of relative energies, unit meV per atom: a 11; b 0; c 54

---

a.
First-principles (PBE) data for LiCaAc2 after structural relaxation, as listed in Alexandria.

The structure in POSCAR format:
```
LiCaAc2
1.0
-0.4286 -3.1706 2.1966
2.1098 -3.1724 -0.7390
9.1897 1.8870 7.9453
Li Ca Ac
1 1 2
Direct
0.6669 0.6669 0.9993
0.4998 0.4998 0.5007
0.0776 0.0776 0.7673
0.2558 0.2558 0.2326
```

Output
N(E_F) = 1.072 states/eV/atom
SG = R3m (160)

---

b.
First-principles (PBE) data for LiCaAc2 after structural relaxation, as listed in Alexandria.

The structure in POSCAR format:
```
LiCaAc2
1.0
4.2869 0.0000 0.0000
0.0000 6.0412 0.0000
0.0000 0.0000 6.0412
Ac Ca Li
2 1 1
Direct
0.0000 0.0000 0.5000
0.0000 0.5000 0.0000
0.5000 0.0000 0.0000
0.5000 0.5000 0.5000
```

Output
N(E_F) = 1.249 states/eV/atom
SG = P4/mmm (123)

---

c.
First-principles (PBE) data for LiCaAc2 after structural relaxation, as listed in Alexandria.

The structure in POSCAR format:
```
LiCaAc2
1.0
-4.7445 3.5529 -1.2399
-3.2851 -0.9690 -4.9940
-5.6260 -2.1935 0.4550
Ac Ca Li
2 1 1
Direct
0.2500 0.2500 0.2500
0.7500 0.7500 0.7500
0.0000 0.0000 0.0000
0.5000 0.5000 0.5000
```

Output
N(E_F) = 1.389 states/eV/atom
SG = Fm-3m (225)

---

d.
First-principles (PBE) data for LiCaAc2 after structural relaxation, as listed in Alexandria.

The structure in POSCAR format:
```
LiCaAc2
1.0
3.8116 0.0000 0.0000
1.9058 3.3009 0.0000
1.9058 1.1003 13.4452
Ac Ca Li
2 1 1
Direct
0.0863 0.0863 0.7411
0.9137 0.9137 0.2589
0.5000 0.5000 0.5000
0.0000 0.0000 0.0000
```

Output
N(E_F) = 1.381 states/eV/atom
SG = R-3m (166)

---

List of relative energies, unit meV per atom: a 0; b 13; c 34; d 146

---

a.
First-principles (PBE) data for LiCaAc2 after structural relaxation, as listed in Alexandria.

The structure in POSCAR format:
```
LiCaAc2
1.0
-0.5834 -1.8976 -5.3756
5.6576 -0.8551 -0.3139
-3.6680 -7.2973 6.0255
Li Ca Ac
2 2 4
Direct
0.2494 0.7506 0.0000
0.7506 0.2494 0.0000
0.3504 0.3504 0.2006
0.6496 0.6496 0.7994
0.8604 0.8604 0.2211
0.1396 0.1396 0.7789
0.5000 0.0000 0.5000
0.0000 0.5000 0.5000
```

Output
N(E_F) = 1.131 states/eV/atom
SG = C2/m (12)

---

b.
First-principles (PBE) data for LiCaAc2 after structural relaxation, as listed in Alexandria.

The structure in POSCAR format:
```
LiCaAc2
1.0
-3.6481 0.6339 -1.6794
-1.3020 -3.5531 1.4870
-2.8170 4.2671 7.7297
Ac Ca Li
2 1 1
Direct
0.0000 0.0000 0.7882
0.0000 0.0000 0.2118
0.5000 0.5000 0.5000
0.5000 0.5000 0.0000
```

Output
N(E_F) = 1.393 states/eV/atom
SG = P4/mmm (123)

---

List of relative energies, unit meV per atom: a 0; b 27

---

a.
First-principles (PBE) data for LiCa3Ac after structural relaxation, as listed in Alexandria.

The structure in POSCAR format:
```
LiCa3Ac
1.0
-0.8293 -2.9942 2.3568
9.3019 1.0132 4.5601
-5.9248 5.7563 5.2282
Li Ca Ac
2 6 2
Direct
0.7500 0.9077 0.2397
0.2500 0.0923 0.7603
0.2500 0.8174 0.4895
0.7500 0.8605 0.8569
0.2500 0.6586 0.0813
0.7500 0.1826 0.5105
0.7500 0.3414 0.9187
0.2500 0.1395 0.1431
0.2500 0.5245 0.6708
0.7500 0.4755 0.3292
```

Output
N(E_F) = 1.274 states/eV/atom
SG = P2_1/m (11)

---

b.
First-principles (PBE) data for LiCa3Ac after structural relaxation, as listed in Alexandria.

The structure in POSCAR format:
```
LiCa3Ac
1.0
-2.1817 5.8889 5.4512
-3.3016 -7.5031 1.3990
7.6212 -1.9472 -0.1681
Li Ca Ac
2 6 2
Direct
0.6773 0.7194 0.3967
0.3227 0.2806 0.6033
0.8078 0.0890 0.3228
0.2338 0.5150 0.3228
0.7662 0.4850 0.6772
0.6919 0.4214 0.1133
0.1922 0.9110 0.6772
0.3081 0.5786 0.8867
0.7545 0.0386 0.7931
0.2455 0.9614 0.2069
```

Output
N(E_F) = 1.309 states/eV/atom
SG = C2/m (12)

---

List of relative energies, unit meV per atom: a 0; b 120

---

a.
First-principles (PBE) data for SrLiCaAc after structural relaxation, as listed in Alexandria.

The structure in POSCAR format:
```
SrLiCaAc
1.0
4.0943 0.0003 0.0057
0.0003 4.0943 -0.0057
-0.0112 0.0112 9.5491
Sr Li Ca Ac
1 1 1 1
Direct
0.6463 0.3537 0.0109
0.1461 0.8539 0.2420
0.6462 0.3538 0.4302
0.1464 0.8536 0.7056
```

Output
N(E_F) = 1.156 states/eV/atom
SG = P4mm (99)

---

b.
First-principles (PBE) data for SrLiCaAc after structural relaxation, as listed in Alexandria.

The structure in POSCAR format:
```
SrLiCaAc
1.0
-5.0294 -0.1521 -3.5516
-3.5546 -5.0288 -0.0911
-5.5933 0.1355 2.5747
Sr Ac Ca Li
1 1 1 1
Direct
0.7500 0.7500 0.7500
0.2500 0.2500 0.2500
0.5000 0.5000 0.5000
0.0000 0.0000 0.0000
```

Output
N(E_F) = 1.454 states/eV/atom
SG = F-43m (216)

---

List of relative energies, unit meV per atom: a 0; b 90

---

a.
First-principles (PBE) data for CaAc2Lu after structural relaxation, as listed in Alexandria.

The structure in POSCAR format:
```
CaAc2Lu
1.0
6.0685 0.0000 0.0000
3.0343 5.2555 0.0000
3.0343 1.7518 4.9549
Ac Lu Ca
2 1 1
Direct
0.2500 0.2500 0.2500
0.7500 0.7500 0.7500
0.5000 0.5000 0.5000
0.0000 0.0000 0.0000
```

Output
N(E_F) = 1.295 states/eV/atom
SG = Fm-3m (225)

---

b.
First-principles (PBE) data for CaAc2Lu after structural relaxation, as listed in Alexandria.

The structure in POSCAR format:
```
CaAc2Lu
1.0
-0.7988 -4.1784 0.1466
3.9154 -0.8000 -1.4658
3.0666 -0.2932 8.3517
Ac Lu Ca
2 1 1
Direct
0.0000 0.0000 0.7718
0.0000 0.0000 0.2282
0.5000 0.5000 0.0000
0.5000 0.5000 0.5000
```

Output
N(E_F) = 1.143 states/eV/atom
SG = P4/mmm (123)

---

c.
First-principles (PBE) data for CaAc2Lu after structural relaxation, as listed in Alexandria.

The structure in POSCAR format:
```
CaAc2Lu
1.0
3.7150 0.0000 0.0000
1.8575 3.2173 0.0000
1.8575 1.0724 13.5292
Ac Lu Ca
2 1 1
Direct
0.0838 0.0838 0.7486
0.9162 0.9162 0.2514
0.0000 0.0000 0.0000
0.5000 0.5000 0.5000
```

Output
N(E_F) = 1.692 states/eV/atom
SG = R-3m (166)

---

List of relative energies, unit meV per atom: a 20; b 0; c 241

---

a.
First-principles (PBE) data for CaAcLu2 after structural relaxation, as listed in Alexandria.

The structure in POSCAR format:
```
CaAcLu2
1.0
3.7509 0.0000 0.0000
0.0000 3.7509 0.0000
0.0000 0.0000 10.1883
Ac Lu Ca
1 2 1
Direct
0.5000 0.5000 0.0000
0.0000 0.0000 0.7551
0.0000 0.0000 0.2449
0.5000 0.5000 0.5000
```

Output
N(E_F) = 1.790 states/eV/atom
SG = P4/mmm (123)

---

b.
First-principles (PBE) data for CaAcLu2 after structural relaxation, as listed in Alexandria.

The structure in POSCAR format:
```
CaAcLu2
1.0
-2.0924 3.9287 -3.0131
-4.1191 0.1654 3.0761
2.3411 3.5065 2.9463
Ac Lu Ca
1 2 1
Direct
0.5000 0.5000 0.5000
0.0000 0.0000 0.5000
0.0000 0.5000 0.0000
0.5000 0.0000 0.0000
```

Output
N(E_F) = 1.836 states/eV/atom
SG = P4/mmm (123)

---

c.
First-principles (PBE) data for CaAcLu2 after structural relaxation, as listed in Alexandria.

The structure in POSCAR format:
```
CaAcLu2
1.0
-1.0380 -1.5352 3.1228
2.3765 -0.3664 2.7211
-2.9353 10.7878 6.4391
Ac Lu Ca
1 2 1
Direct
0.5000 0.5000 0.5000
0.0889 0.0889 0.7333
0.9111 0.9111 0.2667
0.0000 0.0000 0.0000
```

Output
N(E_F) = 1.439 states/eV/atom
SG = R-3m (166)

---

d.
First-principles (PBE) data for CaAcLu2 after structural relaxation, as listed in Alexandria.

The structure in POSCAR format:
```
CaAcLu2
1.0
-4.8160 3.3376 -0.0222
-5.2081 -2.3631 1.2748
-2.6652 1.3313 5.0456
Ac Lu Ca
1 2 1
Direct
0.0000 0.0000 0.0000
0.2500 0.2500 0.2500
0.7500 0.7500 0.7500
0.5000 0.5000 0.5000
```

Output
N(E_F) = 1.436 states/eV/atom
SG = Fm-3m (225)

---

List of relative energies, unit meV per atom: a 0; b 21; c 114; d 30

---

a.
First-principles (PBE) data for CaAc2Mg after structural relaxation, as listed in Alexandria.

The structure in POSCAR format:
```
CaAc2Mg
1.0
-0.8505 5.5102 2.2510
-2.1467 0.6712 5.5762
3.5819 2.0464 4.3744
Mg Ac Ca
1 2 1
Direct
0.5000 0.5000 0.5000
0.2500 0.2500 0.2500
0.7500 0.7500 0.7500
0.0000 0.0000 0.0000
```

Output
N(E_F) = 0.855 states/eV/atom
SG = Fm-3m (225)

---

b.
First-principles (PBE) data for CaAc2Mg after structural relaxation, as listed in Alexandria.

The structure in POSCAR format:
```
CaAc2Mg
1.0
-1.3975 -2.1917 2.7637
1.9827 -0.5228 3.1923
-5.8123 9.8520 7.4780
Mg Ac Ca
1 2 1
Direct
0.0000 0.0000 0.0000
0.0870 0.0870 0.7390
0.9130 0.9130 0.2610
0.5000 0.5000 0.5000
```

Output
N(E_F) = 1.531 states/eV/atom
SG = R-3m (166)

---

c.
First-principles (PBE) data for CaAc2Mg after structural relaxation, as listed in Alexandria.

The structure in POSCAR format:
```
CaAc2Mg
1.0
3.9077 0.0000 0.0000
1.9538 3.3842 0.0000
1.9538 1.1281 12.1289
Ca Ac Mg
1 2 1
Direct
0.4997 0.4997 0.5009
0.0765 0.0765 0.7706
0.2571 0.2571 0.2287
0.6667 0.6667 0.9998
```

Output
N(E_F) = 1.373 states/eV/atom
SG = R3m (160)

---

d.
First-principles (PBE) data for CaAc2Mg after structural relaxation, as listed in Alexandria.

The structure in POSCAR format:
```
CaAc2Mg
1.0
5.4318 0.0166 -1.5075
-0.4359 5.4143 -1.5075
-0.0062 -0.0067 10.5260
Ca Ac Mg
2 4 2
Direct
0.3527 0.3527 0.2054
0.6473 0.6473 0.7946
0.8591 0.8591 0.2187
0.1409 0.1409 0.7813
0.5000 0.0000 0.5000
0.0000 0.5000 0.5000
0.2497 0.7503 0.0000
0.7503 0.2497 0.0000
```

Output
N(E_F) = 1.310 states/eV/atom
SG = I4/mmm (139)

---

List of relative energies, unit meV per atom: a 18; b 297; c 85; d 0

---

a.
First-principles (PBE) data for CaAc2Mg4 after structural relaxation, as listed in Alexandria.

The structure in POSCAR format:
```
CaAc2Mg4
1.0
5.4550 0.0000 1.7043
2.4613 4.8682 1.7043
-0.0071 -0.0044 9.6051
Ca Ac Mg
1 2 4
Direct
0.0000 0.0000 0.0000
0.7461 0.7461 0.7618
0.2539 0.2539 0.2382
0.8746 0.8746 0.3761
0.1254 0.1254 0.6239
0.6165 0.6165 0.1505
0.3835 0.3835 0.8495
```

Output
N(E_F) = 0.693 states/eV/atom
SG = R-3m (166)

---

b.
First-principles (PBE) data for CaAc2Mg4 after structural relaxation, as listed in Alexandria.

The structure in POSCAR format:
```
CaAc2Mg4
1.0
5.7404 0.0000 0.0000
0.0000 5.7404 0.0000
-2.8702 -2.8702 8.6325
Ca Ac Mg
1 2 4
Direct
0.0000 0.0000 0.0000
0.6141 0.6141 0.2283
0.3859 0.3859 0.7717
0.8183 0.8183 0.6366
0.1817 0.1817 0.3634
0.0000 0.5000 0.0000
0.5000 0.0000 0.0000
```

Output
N(E_F) = 1.075 states/eV/atom
SG = I4/mmm (139)

---

List of relative energies, unit meV per atom: a 0; b 267